(1)
VASP calculation (PBE) on a relaxed structure of ZnHgN3.

Values from the calculation:
* SG: No. 221
* magnetic moment: 3.81 μB per formula unit
* E_form (uncorrected): 2.060 eV per atom

Cell and atoms, written as CIF:
```
data_ZnHgN3
_chemical_formula_sum 'Zn1 Hg1 N3'
_cell_length_a 3.986
_cell_length_b 3.986
_cell_length_c 3.986
_cell_angle_alpha 90.00
_cell_angle_beta 90.00
_cell_angle_gamma 90.00
_symmetry_space_group_name_H-M 'P 1'
_symmetry_Int_Tables_number 1
_symmetry_space_group_name_Hall 'P 1'
loop_
_atom_site_label
_atom_site_fract_x
_atom_site_fract_y
_atom_site_fract_z
N1 0.500 0.000 0.000
N2 0.000 0.000 0.500
Hg1 0.500 0.500 0.500
Zn1 0.000 0.000 0.000
N3 0.000 0.500 0.000
```

***

(2)
VASP calculation (PBE) on a relaxed structure of NpCuAsN.

Values from the calculation:
* SG: No. 129
* magnetic moment: 2.24 μB per formula unit
* E_form (uncorrected): -0.750 eV per atom

Cell and atoms, written as CIF:
```
data_NpCuAsN
_chemical_formula_sum 'Np2 Cu2 As2 N2'
_cell_length_a 3.830
_cell_length_b 3.830
_cell_length_c 8.333
_cell_angle_alpha 90.00
_cell_angle_beta 90.00
_cell_angle_gamma 90.00
_symmetry_space_group_name_H-M 'P 1'
_symmetry_Int_Tables_number 1
_symmetry_space_group_name_Hall 'P 1'
loop_
_atom_site_label
_atom_site_fract_x
_atom_site_fract_y
_atom_site_fract_z
Cu1 0.000 0.000 0.000
N1 0.000 0.000 0.500
Cu2 0.500 0.500 0.000
Np1 0.000 0.500 0.361
As1 0.000 0.500 0.814
N2 0.500 0.500 0.500
Np2 0.500 0.000 0.639
As2 0.500 0.000 0.186
```

***

(3)
VASP calculation (PBE) on a relaxed structure of Ca2AlMo.

Values from the calculation:
* SG: No. 44
* magnetic moment: 1.35 μB per formula unit
* ΔE_f: 368 meV per atom

Cell and atoms, written as CIF:
```
data_Ca2AlMo
_chemical_formula_sum 'Ca2 Al1 Mo1'
_cell_length_a 5.989
_cell_length_b 5.989
_cell_length_c 5.989
_cell_angle_alpha 142.63
_cell_angle_beta 129.95
_cell_angle_gamma 64.09
_symmetry_space_group_name_H-M 'P 1'
_symmetry_Int_Tables_number 1
_symmetry_space_group_name_Hall 'P 1'
loop_
_atom_site_label
_atom_site_fract_x
_atom_site_fract_y
_atom_site_fract_z
Ca1 0.734 0.234 0.500
Al1 0.288 0.788 0.500
Ca2 0.021 0.021 0.000
Mo1 0.456 0.456 0.000
```

***

(4)
VASP calculation (PBE) on a relaxed structure of Cs2TiTe3O12.

Values from the calculation:
* SG: No. 166
* magnetic moment: 0.00 μB per formula unit
* E_form (uncorrected): -1.538 eV per atom

Cell and atoms, written as CIF:
```
data_Cs2TiTe3O12
_chemical_formula_sum 'Cs2 Ti1 Te3 O12'
_cell_length_a 7.275
_cell_length_b 7.275
_cell_length_c 7.275
_cell_angle_alpha 60.33
_cell_angle_beta 60.33
_cell_angle_gamma 60.33
_symmetry_space_group_name_H-M 'P 1'
_symmetry_Int_Tables_number 1
_symmetry_space_group_name_Hall 'P 1'
loop_
_atom_site_label
_atom_site_fract_x
_atom_site_fract_y
_atom_site_fract_z
O1 0.676 0.676 0.069
Ti1 0.000 0.000 0.000
Cs1 0.630 0.630 0.630
O2 0.931 0.324 0.324
O3 0.324 0.931 0.324
O4 0.682 0.064 0.064
Te1 0.000 0.500 0.000
Cs2 0.370 0.370 0.370
O5 0.064 0.064 0.682
O6 0.936 0.936 0.318
O7 0.676 0.069 0.676
O8 0.064 0.682 0.064
O9 0.936 0.318 0.936
O10 0.318 0.936 0.936
O11 0.324 0.324 0.931
O12 0.069 0.676 0.676
Te2 0.500 0.000 0.000
Te3 0.000 0.000 0.500
```

***

(5)
VASP calculation (PBE) on a relaxed structure of Er2ScB2Ru5.

Values from the calculation:
* SG: No. 127
* magnetic moment: 0.00 μB per formula unit
* ΔE_f: -480 meV per atom

Cell and atoms, written as CIF:
```
data_Er2ScB2Ru5
_chemical_formula_sum 'Er4 Sc2 B4 Ru10'
_cell_length_a 3.139
_cell_length_b 9.703
_cell_length_c 9.703
_cell_angle_alpha 90.00
_cell_angle_beta 90.00
_cell_angle_gamma 90.00
_symmetry_space_group_name_H-M 'P 1'
_symmetry_Int_Tables_number 1
_symmetry_space_group_name_Hall 'P 1'
loop_
_atom_site_label
_atom_site_fract_x
_atom_site_fract_y
_atom_site_fract_z
Ru1 0.500 0.070 0.777
Ru2 0.500 0.430 0.277
Er1 0.000 0.676 0.176
Ru3 0.500 0.500 0.000
Sc1 0.000 0.000 0.000
Ru4 0.500 0.930 0.223
B1 0.000 0.122 0.622
Ru5 0.500 0.277 0.570
Ru6 0.500 0.570 0.723
Er2 0.000 0.176 0.324
B2 0.000 0.622 0.878
B3 0.000 0.878 0.378
Er3 0.000 0.824 0.676
Ru7 0.500 0.000 0.500
B4 0.000 0.378 0.122
Ru8 0.500 0.723 0.430
Er4 0.000 0.324 0.824
Ru9 0.500 0.777 0.930
Ru10 0.500 0.223 0.070
Sc2 0.000 0.500 0.500
```

***

(6)
VASP calculation (PBE) on a relaxed structure of ThOsAu.

Values from the calculation:
* SG: No. 139
* magnetic moment: 0.37 μB per formula unit
* ΔE_f: -21 meV per atom

Cell and atoms, written as CIF:
```
data_ThOsAu
_chemical_formula_sum 'Th2 Os2 Au2'
_cell_length_a 3.666
_cell_length_b 3.666
_cell_length_c 11.081
_cell_angle_alpha 99.52
_cell_angle_beta 99.52
_cell_angle_gamma 90.00
_symmetry_space_group_name_H-M 'P 1'
_symmetry_Int_Tables_number 1
_symmetry_space_group_name_Hall 'P 1'
loop_
_atom_site_label
_atom_site_fract_x
_atom_site_fract_y
_atom_site_fract_z
Th1 0.857 0.857 0.714
Os1 0.268 0.268 0.537
Th2 0.143 0.143 0.286
Au1 0.438 0.438 0.875
Os2 0.732 0.732 0.463
Au2 0.562 0.562 0.125
```